{"formula": "AlPtW2", "functional": "GGA-PBEsol", "state": "optimized geometry", "vol_a3_per_cell": 60.5, "spacegroup": "F-43m, No. 216", "formation_enthalpy_0k_ev_per_atom": -0.032, "magnetic_moment_mub_per_atom": 0.0000, "lattice": [[-1.015, -4.228, -0.712], [2.988, -2.717, -1.762], [1.838, -3.153, 2.469]], "species": ["W", "W", "Pt", "Al"], "frac_coords": [[0.000, 0.000, 0.000], [0.750, 0.750, 0.750], [0.250, 0.250, 0.250], [0.500, 0.500, 0.500]]}